The following is a DFT calculation (PBE) of a relaxed structure of CsBePd3.

Output
E_tot	-19.7	eV per cell
energy of formation	0.099	eV per atom
calculated volume	19.21	Å³/atom
energy above the most stable polymorph in this dataset	0.0	meV/atom
mass density	7.97	Mg/m³

Lattice parameters (Å, degrees): 4.580 4.580 4.580 90.00 90.00 90.00
Fractional positions:
Cs1 0.000 0.000 0.000
Be1 0.500 0.500 0.500
Pd1 0.000 0.500 0.500
Pd2 0.500 0.000 0.500
Pd3 0.500 0.500 0.000

=====

The following is a DFT calculation (PBE) of a relaxed structure of Cu2AgSb.

Output
E_tot	-14.7	eV per cell
calculated volume	16.72	Å³/atom
formation energy without anion corrections	0.12	eV per atom
mass density	8.86	Mg/m³

Lattice parameters (Å, degrees): 4.806 4.793 4.217 64.10 63.79 52.12
Fractional positions:
Cu1 0.250 0.250 0.250
Cu2 0.750 0.750 0.750
Ag1 0.000 0.000 0.000
Sb1 0.500 0.500 0.500

=====

The following is a DFT calculation (PBE) of a relaxed structure of SiHI2O.

Output
E_tot	-16.9	eV per cell
calculated volume	22.08	Å³/atom
energy above the most stable polymorph in this dataset	0.0	meV/atom
mass density	4.49	Mg/m³

Lattice parameters (Å, degrees): 5.704 5.704 3.394 90.00 90.00 90.00
Fractional positions:
Si1 0.000 0.000 0.000
H1 0.500 0.500 0.500
I1 0.000 0.500 0.000
I2 0.500 0.000 0.000
O1 0.000 0.000 0.500